(1)
A plane-wave DFT calculation with GGA-PBE was carried out for a relaxed structure of CeNd3Th2As6.

**Magnetization**: 0.8 Bohr magnetons per cell
**Total energy**: -6.73 eV per atom
**Crystal system**: monoclinic
**ρ**: 7.529 g/cm3
**Symmetry**: No. 12
**ΔH_f (0 K)**: -1484 meV/atom

```
CeNd3Th2As6
1.0
3.6909 -6.3948 0.0000
3.6909 6.3948 0.0000
-2.4608 0.0000 6.9450
Ce Nd Th As
1 3 2 6
direct
0.0000 0.0000 0.0000
0.1665 0.8335 0.5000
0.5000 0.5000 0.5000
0.8335 0.1665 0.5000
0.3334 0.6666 0.0000
0.6666 0.3334 0.0000
0.0820 0.4146 0.2459
0.2507 0.2507 0.7542
0.4146 0.0820 0.2459
0.5854 0.9180 0.7541
0.7493 0.7493 0.2458
0.9180 0.5854 0.7541
```

(2)
A plane-wave DFT calculation with GGA-PBE was carried out for a relaxed structure of PuPaSe4.

**Magnetization**: 5.0 Bohr magnetons per cell
**Total energy**: -7.57 eV per atom
**Crystal system**: orthorhombic
**ρ**: 6.917 g/cm3
**Formation energy from raw total energies**: -1.272 eV per atom
**Symmetry**: No. 65
**ΔE to the lowest computed polymorph**: 89 meV/atom

```
PuPaSe4
1.0
4.6425 -4.7262 0.0000
4.6425 4.7262 0.0000
0.0000 0.0000 4.3267
Pu Pa Se
1 1 4
direct
0.0000 0.0000 0.0000
0.5000 0.5000 0.5000
0.2019 0.2019 0.5000
0.3110 0.6890 0.0000
0.6890 0.3110 0.0000
0.7981 0.7981 0.5000
```

Question: What is the magnetization in the second record?
Answer: 5.0 Bohr magnetons per cell